1.
Compound: SmDy7Al4
Source: Alexandria via LeMat-Bulk
Functional: PBE
Structure: relaxed

Output
Crystal system: monoclinic
ΔE_f in eV/atom: -0.0575

extended XYZ file:
```
12
Lattice="5.4953 0.0000 0.0000 2.7476 8.6503 0.3177 2.7476 0.5745 6.9182" Properties=species:S:1:pos:R:3 pbc="T T T"
Al 2.7476 2.8845 0.2540
Dy 2.7476 5.4249 1.9846
Dy 5.4953 6.0176 5.4647
Al 5.4953 6.7943 2.6380
Dy 5.4953 3.2072 1.7712
Al 8.2429 6.3402 6.9819
Dy 2.7476 1.3246 3.1781
Dy 8.2429 7.9002 4.0578
Sm 0.0000 0.0000 0.0000
Dy 8.2429 3.7998 5.2513
Al 5.4953 2.4305 4.5979
Dy 2.7476 0.0000 0.0000
```

***

2.
Compound: Sm4Dy3Al4
Source: Alexandria via LeMat-Bulk
Functional: PBE
Structure: relaxed

Output
Crystal system: orthorhombic
ΔE_f in eV/atom: -0.0792

extended XYZ file:
```
11
Lattice="4.8160 0.0000 0.0000 0.0000 8.2122 0.0000 -2.4080 -4.1061 7.9902" Properties=species:S:1:pos:R:3 pbc="T T T"
Dy 0.0000 4.1061 0.0000
Al 2.4080 6.9219 0.0000
Al 0.0000 4.1061 3.4189
Dy 0.0000 0.0000 1.8726
Al 2.4080 1.2903 0.0000
Sm 2.4080 2.4674 2.6802
Dy 2.4080 4.1061 6.1175
Sm 0.0000 1.6387 5.3099
Sm 2.4080 5.7448 2.6802
Al 2.4080 0.0000 4.5712
Sm 0.0000 -1.6387 5.3099
```

***

3.
Compound: Sm4Dy4Al
Source: Alexandria via LeMat-Bulk
Functional: PBE
Structure: relaxed

Output
Crystal system: tetragonal
ΔE_f in eV/atom: -0.0255

extended XYZ file:
```
9
Lattice="4.8714 0.0000 0.0000 2.4357 7.5131 0.0000 2.4357 0.0000 7.5131" Properties=species:S:1:pos:R:3 pbc="T T T"
Sm 4.8714 7.5131 2.3835
Dy 7.3071 5.0142 2.4992
Sm 2.4357 2.3835 0.0000
Sm 4.8714 0.0000 5.1296
Dy 2.4357 2.4990 5.0139
Dy 4.8714 5.0139 5.0142
Dy 4.8714 2.4992 2.4990
Al 0.0000 0.0000 0.0000
Sm 7.3071 5.1296 7.5131
```

***

4.
Compound: Sm5Dy4Al
Source: Alexandria via LeMat-Bulk
Functional: PBE
Structure: relaxed

Output
Crystal system: tetragonal
ΔE_f in eV/atom: -0.0525

extended XYZ file:
```
10
Lattice="-0.8332 3.4286 -0.6472 -2.5532 -0.1456 2.5156 16.0596 7.0571 16.7087" Properties=species:S:1:pos:R:3 pbc="T T T"
Dy 9.7016 4.2632 10.0937
Sm 9.6983 6.6472 12.7861
Dy 6.3580 2.7939 6.6150
Sm -0.4139 2.2037 2.2653
Al 0.0000 0.0000 0.0000
Sm 13.0870 8.1364 16.3118
Dy 13.0551 5.7368 13.5827
Sm 6.3366 5.1700 9.2885
Dy 3.0046 1.3203 3.1260
Sm 2.9749 3.6928 5.7909
```

***

5.
Compound: SmDyAl6
Source: Alexandria via LeMat-Bulk
Functional: PBE
Structure: relaxed

Output
Crystal system: hexagonal
ΔE_f in eV/atom: -0.4369

extended XYZ file:
```
8
Lattice="4.6594 0.0000 0.0000 0.0000 6.3139 -0.2038 0.0000 -2.9781 5.5711" Properties=species:S:1:pos:R:3 pbc="T T T"
Al 0.0000 -0.9325 2.1873
Al 0.0000 0.9616 5.2350
Al 2.3297 2.5834 0.4881
Al 2.3297 4.0418 2.8348
Sm 2.3297 0.8918 3.1660
Dy 0.0000 -2.2028 5.0892
Al 2.3297 5.3463 0.3976
Al 0.0000 2.6504 2.0731
```

***

6.
Compound: Sm2DyAl
Source: Alexandria via LeMat-Bulk
Functional: PBE
Structure: relaxed

Output
Crystal system: tetragonal
ΔE_f in eV/atom: -0.1735
Energy above the lowest structure with this stoichiometry in meV per atom: 14.6

extended XYZ file:
```
4
Lattice="-1.5593 -0.4054 -4.5577 -1.8144 -4.3428 1.0070 -4.1789 2.0355 1.2486" Properties=species:S:1:pos:R:3 pbc="T T T"
Dy -0.7796 -0.2027 -2.2788
Al -3.7763 -1.3563 -1.1510
Sm -0.9072 -2.1714 0.5035
Sm -2.0895 1.0178 0.6243
```

***

7.
Compound: SmDy4Al2
Source: Alexandria via LeMat-Bulk
Functional: PBE
Structure: relaxed

Output
Crystal system: orthorhombic
ΔE_f in eV/atom: -0.0329
Energy above the lowest structure with this stoichiometry in meV per atom: 0.0

extended XYZ file:
```
14
Lattice="-10.0956 0.4235 2.5764 -1.6437 -2.6080 -6.0119 1.1631 -4.0059 5.2160" Properties=species:S:1:pos:R:3 pbc="T T T"
Sm 0.0000 0.0000 0.0000
Dy -8.3157 -2.3272 -4.3072
Dy -9.2922 -0.9478 -0.8423
Sm -5.8696 -1.0922 -1.7178
Al -4.8927 -2.2011 2.2925
Dy -8.6338 -4.2932 -1.4714
Dy -2.4471 -1.2366 -2.5932
Dy -7.8119 -2.9892 1.5346
Al -5.6835 -3.9893 -0.5120
Al 0.1862 -2.8970 1.2057
Dy -1.9424 -1.8972 3.2518
Dy -3.4236 0.1428 0.8717
Dy -2.7643 -3.2012 0.2459
Al -0.6668 -3.7168 -2.0017
```

***

8.
Compound: SmDy4Al2
Source: Alexandria via LeMat-Bulk
Functional: PBE
Structure: relaxed

Output
Crystal system: tetragonal
ΔE_f in eV/atom: 0.2664
Energy above the lowest structure with this stoichiometry in meV per atom: 299.2

extended XYZ file:
```
7
Lattice="-3.1025 -3.9568 -2.5772 4.5062 -1.5589 -3.0311 0.8865 -1.4276 7.3181" Properties=species:S:1:pos:R:3 pbc="T T T"
Sm 0.0000 0.0000 0.0000
Dy 3.0473 -2.8722 0.7414
Al 1.0660 -3.7173 -1.7694
Dy -1.5512 -1.9784 -1.2886
Dy 2.2531 -0.7795 -1.5156
Dy -0.7570 -4.0711 0.9683
Al 1.2243 -3.2260 3.4792
```

***

9.
Compound: SmDy4Al
Source: Alexandria via LeMat-Bulk
Functional: PBE
Structure: relaxed

Output
Crystal system: tetragonal
ΔE_f in eV/atom: -0.1178
Energy above the lowest structure with this stoichiometry in meV per atom: 0.0

extended XYZ file:
```
6
Lattice="-0.0788 3.5181 -0.4841 -3.5055 -0.1545 -0.5520 -2.2351 1.8324 13.6819" Properties=species:S:1:pos:R:3 pbc="T T T"
Dy -0.8165 0.6694 4.9984
Dy -2.1992 2.0154 1.9734
Sm 0.0000 0.0000 0.0000
Dy -1.4186 1.1630 8.6836
Al -2.9097 2.5980 6.3230
Dy -3.6203 3.1805 10.6725
```

***

10.
Compound: Sm6DyAl
Source: Alexandria via LeMat-Bulk
Functional: PBE
Structure: relaxed

Output
Crystal system: monoclinic
ΔE_f in eV/atom: 0.0516
Energy above the lowest structure with this stoichiometry in meV per atom: 114.3

extended XYZ file:
```
8
Lattice="-2.2368 -2.3148 -5.8083 2.3726 -4.2116 4.5532 -6.0847 5.9216 3.7909" Properties=species:S:1:pos:R:3 pbc="T T T"
Sm -3.4607 0.5426 4.3444
Sm -5.4156 1.3470 -0.0498
Sm -0.5333 -1.9517 2.5855
Sm -1.4612 -3.9175 -0.0671
Dy 0.0000 0.0000 0.0000
Sm -4.4877 3.3127 2.6028
Al -2.9744 -0.3024 1.2679
Sm -2.4881 -1.1473 -1.8087
```

***

11.
Compound: Sm12Dy7Al
Source: Alexandria via LeMat-Bulk
Functional: PBE
Structure: relaxed

Output
Crystal system: trigonal
ΔE_f in eV/atom: 0.1154

extended XYZ file:
```
20
Lattice="9.2408 -0.0981 -0.1472 -2.6637 8.8491 -0.1472 -2.6637 -3.5441 8.1097" Properties=species:S:1:pos:R:3 pbc="T T T"
Sm 4.7291 0.5595 4.8380
Sm 1.4831 3.2625 0.4057
Dy 7.5046 2.6097 -0.1208
Sm 5.1732 4.0276 4.6483
Sm 4.6909 2.5518 1.6162
Sm 2.7666 5.7242 2.3798
Sm 1.1468 -0.5173 5.4356
Dy 3.4933 8.3743 0.5397
Dy 7.0727 -1.6913 5.4535
Sm -0.7775 2.6551 6.1991
Sm -1.2598 1.1793 3.1671
Sm 2.7214 -0.5237 2.3082
Dy 0.4201 -3.1674 7.2757
Sm 1.1920 5.7306 5.5072
Al 0.0000 0.0000 0.0000
Sm -0.8157 4.6474 2.9774
Dy -3.1593 6.8982 2.3619
Dy 1.9567 2.6035 3.9077
Dy -3.5912 2.5972 7.9361
Sm 2.4303 1.9444 7.4096
```

***

12.
Compound: Sm2Dy8Al
Source: Alexandria via LeMat-Bulk
Functional: PBE
Structure: relaxed

Output
Crystal system: monoclinic
ΔE_f in eV/atom: 0.0203
Energy above the lowest structure with this stoichiometry in meV per atom: 54.4

extended XYZ file:
```
11
Lattice="5.4128 0.0000 0.0000 0.0000 7.4671 -0.2415 -2.7064 -3.4453 8.6971" Properties=species:S:1:pos:R:3 pbc="T T T"
Dy 2.7064 3.9153 5.3533
Dy 2.7064 2.0455 2.2140
Dy 0.0000 5.6361 -0.1792
Dy 0.0000 0.1065 3.1023
Al 2.7064 0.0000 0.0000
Sm 2.7064 0.1793 5.2665
Dy 2.7064 5.5816 2.1092
Dy 0.0000 1.9762 6.2416
Dy 2.7064 -1.6143 8.6348
Sm 0.0000 3.8425 3.1891
Dy 0.0000 -1.5599 6.3464
```

***

- Look up the ΔE_f of the first one.
  -0.0575 eV/atom

***

- ΔE_f of number 9 (SmDy4Al)?
  -0.1178 eV/atom

***

- Among the records above, which one has the lowest ΔE_f?
  SmDyAl6